{
  "formula": "Er4Tm3Th5",
  "functional": "GGA-PBE",
  "state": "optimized geometry",
  "crystal_system": "monoclinic",
  "delta_e_f_mev_per_atom": 536,
  "energy_ev_per_cell": -62.3,
  "cell": [[8.264, -2.760, 0.000], [8.264, 2.760, 0.000], [-6.763, 0.000, 9.130]],
  "species": ["Er", "Er", "Er", "Er", "Tm", "Tm", "Tm", "Th", "Th", "Th", "Th", "Th"],
  "fractional_positions": [[0.131, 0.131, 0.078], [0.306, 0.306, 0.493], [0.694, 0.694, 0.507], [0.869, 0.869, 0.922], [0.234, 0.234, 0.742], [0.500, 0.500, 0.500], [0.766, 0.766, 0.258], [0.000, 0.000, 0.500], [0.043, 0.043, 0.276], [0.348, 0.348, 0.124], [0.652, 0.652, 0.876], [0.957, 0.957, 0.724]]
}

{
  "formula": "Tm2MgS4",
  "functional": "GGA-PBE",
  "state": "optimized geometry",
  "crystal_system": "triclinic",
  "raw_formation_energy_mev_per_atom": -1723,
  "e_above_lowest_polymorph_mev_per_atom": 179,
  "energy_ev_per_cell": -156.4,
  "cell": [[7.296, 0.000, 0.000], [-0.281, 8.653, 0.000], [-1.280, -2.009, 11.341]],
  "species": ["Tm", "Tm", "Tm", "Tm", "Tm", "Tm", "Tm", "Tm", "Mg", "Mg", "Mg", "Mg", "S", "S", "S", "S", "S", "S", "S", "S", "S", "S", "S", "S", "S", "S", "S", "S"],
  "fractional_positions": [[0.131, 0.449, 0.333], [0.140, 0.977, 0.355], [0.249, 0.123, 0.997], [0.361, 0.292, 0.654], [0.639, 0.708, 0.346], [0.751, 0.877, 0.003], [0.860, 0.023, 0.645], [0.869, 0.551, 0.667], [0.257, 0.595, 0.987], [0.363, 0.793, 0.689], [0.637, 0.207, 0.311], [0.743, 0.405, 0.013], [0.086, 0.946, 0.132], [0.096, 0.396, 0.106], [0.197, 0.540, 0.603], [0.204, 0.008, 0.605], [0.294, 0.718, 0.361], [0.343, 0.236, 0.400], [0.389, 0.838, 0.900], [0.395, 0.348, 0.880], [0.605, 0.652, 0.120], [0.611, 0.162, 0.100], [0.657, 0.764, 0.600], [0.706, 0.282, 0.639], [0.796, 0.992, 0.395], [0.803, 0.460, 0.397], [0.904, 0.604, 0.894], [0.914, 0.054, 0.868]]
}